(1)
First-principles (PBE) data for crystalline La3Pm6Dy2Ho at its relaxed geometry, as listed in Alexandria via LeMat-Bulk.

Summary:
Energy relative to the elements in eV per formula unit: 0.247
Fermi-level density of states in states/eV/cell: 19.563
Symmetry: C2/m, No. 12
Crystal system: monoclinic

The structure in POSCAR format:
```
La3Pm6Dy2Ho
1.0
-1.812 2.966 5.284
-3.988 -3.917 -2.959
6.045 -8.772 5.728
La Pm Dy Ho
3 6 2 1
Cartesian
-0.602 -7.154 1.281
0.848 -2.569 6.772
0.123 -4.861 4.027
0.572 -6.203 7.454
-2.864 -2.851 3.136
-0.326 -3.520 0.599
-0.153 -8.496 4.708
3.109 -6.872 4.917
0.399 -1.227 3.346
-3.262 -1.623 -0.211
-2.537 0.671 2.536
0.000 0.000 0.000
```


(2)
First-principles (PBE) data for crystalline La3PmDy6Ho2 at its relaxed geometry, as listed in Alexandria via LeMat-Bulk.

Summary:
Energy relative to the elements in eV per formula unit: 0.242
Fermi-level density of states in states/eV/cell: 16.305
Symmetry: C2/m, No. 12
Crystal system: monoclinic

The structure in POSCAR format:
```
La3PmDy6Ho2
1.0
6.243 -0.002 0.004
-3.121 5.406 0.004
-1.048 -1.815 11.706
La Pm Dy Ho
3 1 6 2
Cartesian
-2.084 3.597 5.857
4.157 -0.007 5.857
1.037 1.795 5.857
0.000 0.000 0.000
3.118 1.789 8.844
2.076 3.595 2.875
-1.045 1.801 2.870
-0.009 3.595 8.844
-0.003 -0.005 8.839
2.082 -0.005 2.870
-0.001 3.604 0.004
3.123 1.800 0.004
```


(3)
First-principles (PBE) data for crystalline La4Pm2DyHo at its relaxed geometry, as listed in Alexandria via LeMat-Bulk.

Summary:
Energy relative to the elements in eV per formula unit: 0.152
Fermi-level density of states in states/eV/cell: 11.663
Symmetry: P2/m, No. 10
Crystal system: monoclinic

The structure in POSCAR format:
```
La4Pm2DyHo
1.0
-0.329 -4.999 1.599
0.775 1.526 4.932
-9.250 2.587 6.189
La Pm Dy Ho
4 2 1 1
Cartesian
-6.351 3.085 8.343
-2.452 -3.971 4.377
-1.895 -0.708 6.045
-6.909 -0.178 6.674
-9.250 2.587 6.189
-4.789 -1.206 3.894
-9.027 0.851 9.454
-4.238 2.057 5.560
```


Number 1: E -56.8 eV per cell. Number 2: E -56.1 eV per cell. Number 3: E -38.2 eV per cell.